! Dy3Ho4Bi8 PBE-GGA relaxed; values from VASP
&SYSTEM
  ibrav = 0, nat = 15, ntyp = 3
/
ATOMIC_SPECIES
Dy 162.50 Dy.upf
Ho 164.93 Ho.upf
Bi 208.98 Bi.upf
CELL_PARAMETERS angstrom
6.285 -6.287 0.000
6.285 6.287 0.000
-6.279 0.000 6.287
ATOMIC_POSITIONS angstrom
Dy 0.000 0.000 0.000
Dy 3.142 3.143 0.000
Dy 3.142 -3.143 0.000
Ho 0.003 3.143 3.143
Ho 0.003 -3.143 3.143
Ho 6.285 0.000 0.000
Ho 3.145 0.000 3.143
Bi 3.145 3.201 3.143
Bi -0.057 0.000 3.149
Bi -3.131 0.000 6.229
Bi 6.285 3.139 0.000
Bi 6.285 -3.139 0.000
Bi 9.422 0.000 0.057
Bi 6.348 0.000 3.138
Bi 3.145 -3.201 3.143
! Crystal system ... monoclinic
! ΔH_f (0 K) ... -0.666 eV/atom
! Calculated density ... 9.4 Mg/m³


! CoTePC2 PBE-GGA relaxed; values from VASP
&SYSTEM
  ibrav = 0, nat = 5, ntyp = 4
/
ATOMIC_SPECIES
Co 58.93 Co.upf
Te 127.60 Te.upf
P 30.97 P.upf
C 12.01 C.upf
CELL_PARAMETERS angstrom
3.463 0.000 0.000
0.000 3.463 0.000
0.000 0.000 8.101
ATOMIC_POSITIONS angstrom
Co 0.000 0.000 0.000
Te 1.732 1.732 0.000
P 1.732 1.732 4.050
C 0.000 1.732 4.050
C 1.732 0.000 4.050
! Crystal system ... tetragonal
! E_form (uncorrected) ... 8.18 eV per formula unit
! Calculated density ... 4.1 Mg/m³


! Li3Pm PBE-GGA relaxed; values from VASP
&SYSTEM
  ibrav = 0, nat = 4, ntyp = 2
/
ATOMIC_SPECIES
Li 6.94 Li.upf
Pm 145.00 Pm.upf
CELL_PARAMETERS angstrom
-1.706 2.737 5.122
1.706 -2.737 5.122
1.706 2.737 -5.122
ATOMIC_POSITIONS angstrom
Li 0.000 0.000 0.000
Li 1.706 0.000 2.273
Li 0.000 2.737 2.849
Pm 0.000 0.000 5.122
! Crystal system ... orthorhombic
! ΔH_f (0 K) ... 0.135 eV/atom
! Calculated density ... 2.9 Mg/m³
! Excess energy over the best structure of this formula in the dataset ... 2.23 kcal/mol of atoms


! ErZn4Au PBE-GGA relaxed; values from VASP
&SYSTEM
  ibrav = 0, nat = 6, ntyp = 3
/
ATOMIC_SPECIES
Er 167.26 Er.upf
Zn 65.41 Zn.upf
Au 196.97 Au.upf
CELL_PARAMETERS angstrom
0.000 3.730 3.730
3.730 0.000 3.730
3.730 3.730 0.000
ATOMIC_POSITIONS angstrom
Er 0.000 0.000 0.000
Zn 2.797 2.797 2.797
Zn 4.663 4.663 2.797
Zn 4.663 2.797 4.663
Zn 2.797 4.663 4.663
Au 5.595 5.595 5.595
! Crystal system ... cubic
! ΔH_f (0 K) ... -0.233 eV/atom
! Calculated density ... 10.0 Mg/m³
! Excess energy over the best structure of this formula in the dataset ... 1.91 kcal/mol of atoms